Entry from Alexandria: a relaxed PrSm6Y2Mg crystal (PBE).

Summary:
* E_form: 0.11 eV per atom
* total moment: 0.0 μB per formula unit
* DOS(E_F): 26.6 states/eV/cell

a b c (Å): 8.855 9.251 9.251
angles (deg): 118.97 90.43 90.43
Positions (direct):
Y1 0.556 0.223 0.323
Sm1 0.196 0.532 0.956
Sm2 0.052 0.116 0.796
Y2 0.056 0.323 0.223
Sm3 0.414 0.539 0.264
Sm4 0.448 0.204 0.884
Mg1 0.250 0.444 0.556
Pr1 0.250 0.962 0.038
Y3 0.444 0.777 0.677
Sm5 0.804 0.468 0.044
Sm6 0.914 0.264 0.539
Sm7 0.696 0.956 0.532
Mg2 0.750 0.556 0.444
Sm8 0.586 0.461 0.736
Y4 0.944 0.677 0.777
Pr2 0.750 0.038 0.962
Sm9 0.552 0.796 0.116
Sm10 0.304 0.044 0.468
Sm11 0.086 0.736 0.461
Sm12 0.948 0.884 0.204